1.
This record from Alexandria via LeMat-Bulk describes a geometry-optimized CdInBiSb structure. The functional is PBE-GGA.

Geometry as POSCAR:
```
CdInBiSb
1.0
0.000 3.845 3.845
3.845 0.000 3.845
3.845 3.845 0.000
Cd In Bi Sb
1 1 1 1
direct
0.000 0.000 0.000
0.250 0.250 0.250
0.750 0.750 0.750
0.500 0.500 0.500
```

Calculated values
* symmetry: F-43m (216)
* calculated total energy: -0.2054 Ry/atom
* raw formation energy: 0.119 eV/atom

***

2.
This record from Alexandria via LeMat-Bulk describes a geometry-optimized Ca5Zr structure. The functional is PBE-GGA.

Geometry as POSCAR:
```
Ca5Zr
1.0
0.000 4.850 4.850
4.850 0.000 4.850
4.850 4.850 0.000
Ca Zr
5 1
direct
0.000 0.000 0.000
0.129 0.624 0.624
0.624 0.129 0.624
0.624 0.624 0.129
0.624 0.624 0.624
0.250 0.250 0.250
```

Calculated values
* ΔE_f: 0.48 eV/atom
* symmetry: F-43m (216)
* E above lowest polymorph: 1.55 eV/f.u.
* calculated total energy: -0.1923 Ry/atom

***

3.
This record from Alexandria via LeMat-Bulk describes a geometry-optimized CrCuHg2 structure. The functional is PBE-GGA.

Geometry as POSCAR:
```
CrCuHg2
1.0
1.550 0.895 9.386
-1.550 0.895 9.386
0.000 -1.789 9.386
Cr Cu Hg
1 1 2
direct
0.000 0.000 0.000
0.266 0.266 0.266
0.521 0.521 0.521
0.750 0.750 0.750
```

Calculated values
* ΔE_f: 0.44 eV/atom
* symmetry: R3m (160)
* E above lowest polymorph: 0.42 eV/f.u.
* calculated total energy: -0.2309 Ry/atom

***

4.
This record from Alexandria via LeMat-Bulk describes a geometry-optimized DyHfRu structure. The functional is PBE-GGA.

Geometry as POSCAR:
```
DyHfRu
1.0
-1.663 1.663 5.783
1.663 -1.663 5.783
1.663 1.663 -5.783
Dy Hf Ru
1 1 1
direct
0.000 0.000 0.000
0.285 0.285 0.000
0.664 0.664 0.000
```

Calculated values
* ΔE_f: -0.31 eV/atom
* symmetry: I4mm (107)
* E above lowest polymorph: 0.27 eV/f.u.
* calculated total energy: -0.6067 Ry/atom